Record 1
Below is Tb12Fe6Pb after structural relaxation, with properties calculated at the PBE level.

Output
For the final energy, the calculation gives -5.876 eV/atom.

Cell lengths 9.774, 9.774, 9.774 Å; angles 90.00, 90.00, 90.00 degrees
Space group Im-3 (No. 204)
Asymmetric unit:
Tb 0.000 0.300 0.196 [24 per cell]
Fe 0.000 0.109 0.500 [12 per cell]
Pb 0.000 0.000 0.000 [2 per cell]


Record 2
Below is Tb6Fe2Pb after structural relaxation, with properties calculated at the PBE level.

Output
For the final energy, the calculation gives -5.544 eV/atom.

Cell lengths 9.592, 9.776, 10.079 Å; angles 90.00, 90.00, 90.00 degrees
Space group Immm (No. 71)
Asymmetric unit:
Tb 0.000 0.218 0.229 [8 per cell]
Tb 0.200 0.500 0.188 [8 per cell]
Tb 0.211 0.312 0.500 [8 per cell]
Fe 0.000 0.389 0.000 [4 per cell]
Fe 0.000 0.500 0.393 [4 per cell]
Pb 0.000 0.000 0.000 [2 per cell]
Pb 0.000 0.000 0.500 [2 per cell]


Record 3
Below is Tb4FePb after structural relaxation, with properties calculated at the PBE level.

Output
For the final energy, the calculation gives -5.329 eV/atom.

Cell lengths 8.785, 13.287, 6.062 Å; angles 90.00, 109.34, 90.00 degrees
Space group C2/c (No. 15)
Asymmetric unit:
Tb 0.107 0.161 0.052 [8 per cell]
Tb 0.223 0.427 0.373 [8 per cell]
Fe 0.000 0.000 0.250 [4 per cell]
Pb 0.000 0.371 0.750 [4 per cell]


Record 4
Below is Fe2TcPb after structural relaxation, with properties calculated at the PBE level.

Output
For the final energy, the calculation gives -7.267 eV/atom.

Cell lengths 3.278, 3.278, 6.037 Å; angles 90.00, 90.00, 90.00 degrees
Space group P4/mmm (No. 123)
Asymmetric unit:
Fe 0.000 0.000 0.197 [2 per cell]
Tc 0.500 0.500 0.000 [1 per cell]
Pb 0.500 0.500 0.500 [1 per cell]


Record 5
Below is Fe2TcPb after structural relaxation, with properties calculated at the PBE level.

Output
For the final energy, the calculation gives -7.085 eV/atom.

Cell lengths 2.9858, 2.9858, 25.9950 Å; angles 90.00, 90.00, 120.00 degrees
Space group R-3m (No. 166, hexagonal axes)
Asymmetric unit:
Fe 0.0000 0.0000 0.2399 [6 per cell]
Tc 0.0000 0.0000 0.5000 [3 per cell]
Pb 0.0000 0.0000 0.0000 [3 per cell]


Record 6
Below is Fe2TcPb after structural relaxation, with properties calculated at the PBE level.

Output
For the final energy, the calculation gives -7.187 eV/atom.

Cell lengths 8.828, 3.077, 4.815 Å; angles 90.00, 101.69, 90.00 degrees
Space group C2/m (No. 12)
Asymmetric unit:
Fe 0.239 0.000 0.190 [4 per cell]
Tc 0.000 0.500 0.000 [2 per cell]
Pb 0.000 0.000 0.500 [2 per cell]


Record 7
Below is Fe2TcPb after structural relaxation, with properties calculated at the PBE level.

Output
For the final energy, the calculation gives -7.238 eV/atom.

Cell lengths 8.656, 3.017, 4.932 Å; angles 90.00, 102.86, 90.00 degrees
Space group Cm (No. 8)
Asymmetric unit:
Fe 0.000 0.000 0.000 [2 per cell]
Fe 0.230 0.500 0.205 [2 per cell]
Tc 0.472 0.000 0.394 [2 per cell]
Pb 0.239 0.000 0.719 [2 per cell]


Record 8
Below is Fe3TcPb after structural relaxation, with properties calculated at the PBE level.

Output
For the polymorph energy (0 for the lowest one), the calculation gives 0.0 kJ/mol of atoms. For the final energy, the calculation gives -6.656 eV/atom.

Cell lengths 4.587, 4.587, 4.587 Å; angles 90.00, 90.00, 90.00 degrees
Space group Pm-3m (No. 221)
Asymmetric unit:
Fe 0.000 0.000 0.500 [3 per cell]
Tc 0.000 0.000 0.000 [1 per cell]
Pb 0.500 0.500 0.500 [1 per cell]


Record 9
Below is FeTc2Pb after structural relaxation, with properties calculated at the PBE level.

Output
For the final energy, the calculation gives -7.555 eV/atom.

Cell lengths 2.9685, 2.9685, 26.2250 Å; angles 90.00, 90.00, 120.00 degrees
Space group R-3m (No. 166, hexagonal axes)
Asymmetric unit:
Fe 0.0000 0.0000 0.0000 [3 per cell]
Tc 0.0000 0.0000 0.2610 [6 per cell]
Pb 0.0000 0.0000 0.5000 [3 per cell]


Record 10
Below is FeTcPb after structural relaxation, with properties calculated at the PBE level.

Output
For the polymorph energy (0 for the lowest one), the calculation gives 11.4 kJ/mol of atoms. For the final energy, the calculation gives -6.829 eV/atom.

Cell lengths 3.0503, 3.0503, 6.6484 Å; angles 90.00, 90.00, 120.00 degrees
Space group P3m1 (No. 156)
Asymmetric unit:
Fe 0.0000 0.0000 0.0000 [1 per cell]
Tc 0.3333 0.6667 0.7413 [1 per cell]
Pb 0.6667 0.3333 0.3647 [1 per cell]


Record 11
Below is FeTc2Pb after structural relaxation, with properties calculated at the PBE level.

Output
For the final energy, the calculation gives -7.645 eV/atom.

Cell lengths 2.9659, 2.9659, 26.8152 Å; angles 90.00, 90.00, 120.00 degrees
Space group R3m (No. 160, hexagonal axes)
Asymmetric unit:
Fe 0.0000 0.0000 0.0000 [3 per cell]
Tc 0.0000 0.0000 0.4795 [3 per cell]
Tc 0.0000 0.0000 0.7383 [3 per cell]
Pb 0.0000 0.0000 0.2412 [3 per cell]


Record 12
Below is FeTc2Pb after structural relaxation, with properties calculated at the PBE level.

Output
For the final energy, the calculation gives -7.736 eV/atom.

Cell lengths 3.079, 3.079, 6.927 Å; angles 90.00, 90.00, 90.00 degrees
Space group P4/mmm (No. 123)
Asymmetric unit:
Fe 0.000 0.000 0.000 [1 per cell]
Tc 0.500 0.500 0.196 [2 per cell]
Pb 0.000 0.000 0.500 [1 per cell]


| no. | total moment (μB/atom) | DOS(E_F) (states/eV/f.u.) | calculated formation energy (eV/atom) |
| --- | --- | --- | --- |
| 1 | 0.321 | 16.076 | -0.084 |
| 2 | 0.157 | 8.458 | -0.164 |
| 3 | 0.000 | 5.520 | -0.214 |
| 4 | 1.417 | 4.037 | 0.483 |
| 5 | 1.377 | 7.395 | 0.665 |
| 6 | 1.203 | 5.479 | 0.563 |
| 7 | 1.039 | 3.715 | 0.512 |
| 8 | 1.386 | 6.661 | 1.236 |
| 9 | 0.531 | 4.411 | 0.671 |
| 10 | 0.674 | 3.897 | 0.683 |
| 11 | 0.597 | 4.513 | 0.581 |
| 12 | 0.545 | 3.489 | 0.490 |